VASP calculation (PBE-GGA) on an optimized crystal structure of Rb2AcBiO6.

The value obtained for the total magnetization is 2.04 μB/cell. The crystal system is trigonal. The value obtained for the raw formation energy is -1.51 eV/atom. Its volume is 192.6 Å³/cell. As for the space group: No. 148. Its raw total energy is -5.477 eV/atom.

Cell: 6.482 6.482 6.482 Å, 60.00 60.00 60.00°
Site moments in Bohr magnetons follow the coordinates.
Element x y z (fractional)
Rb 0.566 0.566 0.301  0.00
O 0.085 0.081 0.285  0.28
O 0.083 0.547 0.818  0.28
O 0.081 0.549 0.284  0.28
O 0.549 0.085 0.285  0.28
Rb 0.066 0.066 0.802  0.00
Bi 0.316 0.316 0.052  -0.04
Ac 0.816 0.816 0.552  0.00
O 0.547 0.551 0.818  0.28
O 0.551 0.083 0.819  0.28